First-principles (PBE) data for a geometry-optimized Ba6P2SBr2 structure, as listed in Alexandria via LeMat-Bulk.

Unit cell a=8.0888 b=8.0888 c=8.2687 alpha=99.44 beta=99.44 gamma=119.80
With the nearest neighbours (Å) after each atom.
Atoms (fractional coordinates):
Ba  0.4092  0.0755  0.7190  2 P 3.18-3.19, 1 S 3.20, 2 Br 3.47-3.50
Ba  0.0755  0.4092  0.7190  2 P 3.18-3.19, 1 S 3.20, 2 Br 3.47-3.50
Ba  0.7336  0.7336  0.7192  2 P 3.19, 1 S 3.24, 2 Br 3.50
Ba  0.5908  0.9245  0.2810  2 P 3.18-3.19, 1 S 3.20, 2 Br 3.47-3.50
Ba  0.2664  0.2664  0.2808  2 P 3.19, 1 S 3.24, 2 Br 3.50
Ba  0.9245  0.5908  0.2810  2 P 3.18-3.19, 1 S 3.20, 2 Br 3.47-3.50
Br  0.1669  0.8331  0.0000  6 Ba 3.47-3.50
Br  0.8331  0.1669  0.0000  6 Ba 3.47-3.50
S  0.0000  0.0000  0.5000  6 Ba 3.20-3.24
P  0.3321  0.6679  0.5000  6 Ba 3.18-3.19
P  0.6679  0.3321  0.5000  6 Ba 3.18-3.19

theoretical density	4.03	g/cm³
spin magnetization	0.06	μB per atom



First-principles (PBE) data for a geometry-optimized Ba8P3SBr4 structure, as listed in Alexandria via LeMat-Bulk.

Unit cell a=9.3511 b=9.5699 c=9.3517 alpha=119.26 beta=120.00 gamma=90.00
With the nearest neighbours (Å) after each atom.
Atoms (fractional coordinates):
Br  0.0000  0.0000  0.0000  6 Ba 3.51-3.53
Br  0.5000  0.0000  0.5000  6 Ba 3.51-3.53
Br  0.5000  0.0000  0.0000  6 Ba 3.49
Br  0.0000  0.0000  0.5000  6 Ba 3.51-3.53
Ba  0.7343  0.7143  0.9744  2 P 3.17, 1 S 3.21, 3 Br 3.49-3.53
Ba  0.7599  0.2857  0.0256  2 P 3.17, 1 S 3.21, 3 Br 3.49-3.53
Ba  0.7389  0.7167  0.4779  3 P 3.20, 3 Br 3.51
Ba  0.2611  0.2833  0.5221  3 P 3.20, 3 Br 3.51
Ba  0.7598  0.2856  0.5196  2 P 3.17, 1 S 3.22, 3 Br 3.49-3.53
Ba  0.2402  0.7144  0.4804  2 P 3.17, 1 S 3.22, 3 Br 3.49-3.53
Ba  0.2401  0.7143  0.9744  2 P 3.17, 1 S 3.21, 3 Br 3.49-3.53
Ba  0.2657  0.2857  0.0256  2 P 3.17, 1 S 3.21, 3 Br 3.49-3.53
P  0.0000  0.5000  0.5000  6 Ba 3.17-3.20
P  0.5000  0.5000  0.0000  6 Ba 3.17-3.20
P  0.5000  0.5000  0.5000  6 Ba 3.17-3.20
S  0.0000  0.5000  0.0000  6 Ba 3.21-3.22

theoretical density	4.28	g/cm³
spin magnetization	0.00	μB per atom



First-principles (PBE) data for a geometry-optimized Ba6PS2Br3 structure, as listed in Alexandria via LeMat-Bulk.

Unit cell a=7.9914 b=7.9914 c=8.2500 alpha=99.29 beta=99.29 gamma=119.94
With the nearest neighbours (Å) after each atom.
Atoms (fractional coordinates):
S  0.6666  0.3334  0.0000  6 Ba 3.17
S  0.3334  0.6666  0.0000  6 Ba 3.17
Ba  0.0727  0.4038  0.2183  1 P 3.15, 2 S 3.17, 3 Br 3.45-3.47
Ba  0.5962  0.9273  0.7817  1 P 3.15, 2 S 3.17, 3 Br 3.45-3.47
Ba  0.9273  0.5962  0.7817  1 P 3.15, 2 S 3.17, 3 Br 3.45-3.47
Ba  0.4038  0.0727  0.2183  1 P 3.15, 2 S 3.17, 3 Br 3.45-3.47
Ba  0.2581  0.2581  0.7813  1 P 3.15, 2 S 3.17, 3 Br 3.44-3.47
Ba  0.7419  0.7419  0.2187  1 P 3.15, 2 S 3.17, 3 Br 3.44-3.47
Br  0.1664  0.8336  0.5000  6 Ba 3.44-3.47
Br  0.5000  0.5000  0.5000  6 Ba 3.45-3.47
Br  0.8336  0.1664  0.5000  6 Ba 3.44-3.47
P  0.0000  0.0000  0.0000  6 Ba 3.15

theoretical density	4.45	g/cm³
spin magnetization	0.00	μB per atom



First-principles (PBE) data for a geometry-optimized Ba6P2SBr3 structure, as listed in Alexandria via LeMat-Bulk.

Unit cell a=8.0759 b=8.0759 c=8.3304 alpha=99.30 beta=99.30 gamma=120.02
With the nearest neighbours (Å) after each atom.
Atoms (fractional coordinates):
Ba  0.7354  0.7354  0.2156  2 P 3.17, 1 S 3.20, 3 Br 3.48-3.51
Ba  0.4084  0.0719  0.2159  2 P 3.17, 1 S 3.21, 3 Br 3.48-3.51
Ba  0.0719  0.4084  0.2159  2 P 3.17, 1 S 3.21, 3 Br 3.48-3.51
Ba  0.5916  0.9281  0.7841  2 P 3.17, 1 S 3.21, 3 Br 3.48-3.51
Ba  0.9281  0.5916  0.7841  2 P 3.17, 1 S 3.21, 3 Br 3.48-3.51
Ba  0.2646  0.2646  0.7844  2 P 3.17, 1 S 3.20, 3 Br 3.48-3.51
Br  0.8334  0.1666  0.5000  6 Ba 3.48-3.51
Br  0.1666  0.8334  0.5000  6 Ba 3.48-3.51
Br  0.5000  0.5000  0.5000  6 Ba 3.48-3.51
S  0.0000  0.0000  0.0000  6 Ba 3.20-3.21
P  0.3333  0.6667  0.0000  6 Ba 3.17
P  0.6667  0.3333  0.0000  6 Ba 3.17

theoretical density	4.32	g/cm³
spin magnetization	0.00	μB per atom



First-principles (PBE) data for a geometry-optimized BaPS2Br structure, as listed in Alexandria via LeMat-Bulk.

Unit cell a=6.1612 b=6.1612 c=6.6838 alpha=90.00 beta=90.00 gamma=90.00
With the nearest neighbours (Å) after each atom.
Atoms (fractional coordinates):
Ba  0.0000  0.0000  0.0000  4 S 3.08, 2 P 3.34
S  0.5000  0.0000  0.0000  2 Ba 3.08
S  0.0000  0.5000  0.0000  2 Ba 3.08
Br  0.5000  0.5000  0.5000  4 P 4.36, 8 S 4.55
P  0.0000  0.0000  0.5000  2 Ba 3.34

theoretical density	2.04	g/cm³
spin magnetization	1.20	μB per atom



First-principles (PBE) data for a geometry-optimized Ba4PSBr2 structure, as listed in Alexandria via LeMat-Bulk.

Unit cell a=4.6502 b=8.0269 c=8.2772 alpha=108.92 beta=90.00 gamma=90.00
With the nearest neighbours (Å) after each atom.
Atoms (fractional coordinates):
Br  0.0000  0.5000  0.5000  6 Ba 3.45-3.47
Br  0.5000  0.0000  0.5000  6 Ba 3.48-3.50
Ba  0.5000  0.2424  0.2169  1 P 3.15, 2 S 3.19, 3 Br 3.47-3.50
Ba  0.0000  0.7363  0.2180  2 P 3.17, 1 S 3.20, 3 Br 3.45-3.48
Ba  0.5000  0.7576  0.7831  1 P 3.15, 2 S 3.19, 3 Br 3.47-3.50
Ba  0.0000  0.2637  0.7820  2 P 3.17, 1 S 3.20, 3 Br 3.45-3.48
S  0.0000  0.0000  0.0000  6 Ba 3.19-3.20
P  0.5000  0.5000  0.0000  6 Ba 3.15-3.17

theoretical density	4.39	g/cm³
spin magnetization	0.00	μB per atom



First-principles (PBE) data for a geometry-optimized BaPS2Br structure, as listed in Alexandria via LeMat-Bulk.

Unit cell a=5.1603 b=5.1603 c=4.8977 alpha=90.00 beta=90.00 gamma=90.00
With the nearest neighbours (Å) after each atom.
Atoms (fractional coordinates):
Ba  0.5000  0.5000  0.5000  8 S 3.56, 4 P 3.65
Br  0.0000  0.0000  0.0000  2 P 2.45, 4 S 2.58
P  0.0000  0.0000  0.5000  2 Br 2.45
S  0.0000  0.5000  0.0000  2 Br 2.58
S  0.5000  0.0000  0.0000  2 Br 2.58

theoretical density	3.98	g/cm³
spin magnetization	0.03	μB per atom



First-principles (PBE) data for a geometry-optimized Ba6PS3Br2 structure, as listed in Alexandria via LeMat-Bulk.

Unit cell a=8.0323 b=8.0323 c=8.0383 alpha=99.61 beta=99.61 gamma=119.93
With the nearest neighbours (Å) after each atom.
Atoms (fractional coordinates):
Ba  0.0888  0.4027  0.2664  3 S 3.15-3.31, 1 P 3.23, 2 Br 3.42
Ba  0.2253  0.2253  0.7376  3 S 3.19-3.37, 1 P 3.21, 2 Br 3.40
Ba  0.4027  0.0888  0.2664  3 S 3.15-3.31, 1 P 3.23, 2 Br 3.42
Ba  0.7747  0.7747  0.2624  3 S 3.19-3.37, 1 P 3.21, 2 Br 3.40
Ba  0.5973  0.9112  0.7336  3 S 3.15-3.31, 1 P 3.23, 2 Br 3.42
Ba  0.9112  0.5973  0.7336  3 S 3.15-3.31, 1 P 3.23, 2 Br 3.42
P  0.0000  0.0000  0.0000  6 Ba 3.21-3.23
S  0.8305  0.1695  0.5000  6 Ba 3.15-3.31
S  0.1695  0.8305  0.5000  6 Ba 3.15-3.31
S  0.5000  0.5000  0.5000  6 Ba 3.15-3.37
Br  0.3335  0.6665  0.0000  6 Ba 3.40-3.42
Br  0.6665  0.3335  0.0000  6 Ba 3.40-3.42

theoretical density	4.35	g/cm³
spin magnetization	0.00	μB per atom



no.,formation energy from raw total energies (eV/atom),volume (Å³/cell)
1,-1.484,443.7
2,-1.652,598.3
3,-1.779,432.1
4,-1.681,445.2
5,0.727,253.7
6,-1.728,292.3
7,0.039,130.4
8,-1.839,423.7